Entry 1:
VASP calculation (PBE) on NaInSnPd after structural relaxation.

The energy of formation from the pure elements comes out at -0.328 eV/atom. As for the energy relative to the lowest polymorph listed for this composition: 0.000 eV per atom. For the volume, the calculation gives 22.8 Å³/atom.

The structure belongs to space group P4mm (No. 99); the cell edges are 3.3208, 3.3208 and 8.2791 Å and the angles 90.00°, 90.00° and 90.00°. The distinct sites, in fractional coordinates, are Na at (0.0000, 0.0000, 0.0000), In at (0.5000, 0.5000, 0.2976), Sn at (0.5000, 0.5000, 0.7010) and Pd at (0.0000, 0.0000, 0.5089).

---

Entry 2:
VASP calculation (PBE) on Na2InSn3Pd4 after structural relaxation.

The energy of formation from the pure elements comes out at -0.408 eV/atom. For the volume, the calculation gives 23.1 Å³/atom.

The structure belongs to space group P-4m2 (No. 115); the cell edges are 4.6579, 4.6579 and 10.6391 Å and the angles 90.00°, 90.00° and 90.00°. The distinct sites, in fractional coordinates, are Na at (0.0000, 0.5000, 0.2340), In at (0.0000, 0.0000, 0.5000), Sn at (0.0000, 0.5000, 0.8775), Sn at (0.5000, 0.5000, 0.5000), Pd at (0.0000, 0.0000, 0.0000), Pd at (0.0000, 0.5000, 0.6317) and Pd at (0.5000, 0.5000, 0.0000).